(1)
The following is a DFT calculation (PBE) of a relaxed NaMgGe2O6 crystal.

Summary:
Calculated volume in Å³ per cell: 247.4
SG: C2/c, No. 15
Formation energy from raw total energies in eV per atom: -1.75
Calculated density in Mg/m³: 3.873

```
NaMgGe2O6
1.0
5.0915 -0.3812 -0.3956
1.1629 6.8843 -0.0220
1.1629 -0.2772 6.8787
Ge Mg O Na
4 2 12 2
Direct
0.6919 0.6044 0.7857
0.8081 0.2143 0.3956
0.1919 0.7857 0.6044
0.3081 0.3956 0.2143
0.2500 0.2728 0.7272
0.7500 0.7272 0.2728
0.3653 0.5768 0.7115
0.6390 0.1934 0.6254
0.6771 0.7509 0.9871
0.3610 0.8066 0.3746
0.1390 0.6254 0.1934
0.3229 0.2491 0.0129
0.8610 0.3746 0.8066
0.8229 0.0129 0.2491
0.6347 0.4232 0.2885
0.1347 0.2885 0.4232
0.8653 0.7115 0.5768
0.1771 0.9871 0.7509
0.7500 0.0775 0.9225
0.2500 0.9225 0.0775
```

---

(2)
The following is a DFT calculation (PBE) of a relaxed AgBSe3 crystal.

Summary:
Calculated volume in Å³ per cell: 93.5
Distance to the lowest polymorph of the same formula in eV per formula unit: 3.39
N(E_F) in states/eV per cell: 3.64
SG: Pm-3m, No. 221
Formation energy from raw total energies in eV per atom: 0.71
Calculated density in Mg/m³: 6.312

```
AgBSe3
1.0
-4.3556 -1.0602 -0.7140
0.4629 -3.6717 2.6286
-1.1915 2.4494 3.6312
Se Ag B
3 1 1
Direct
0.0000 0.5000 0.0000
0.0000 0.0000 0.5000
0.5000 0.0000 0.0000
0.5000 0.5000 0.5000
0.0000 0.0000 0.0000
```

---

(3)
The following is a DFT calculation (PBE) of a relaxed Sr2YInPt crystal.

Summary:
Calculated volume in Å³ per cell: 185.4
N(E_F) in states/eV per cell: 4.70
SG: P4/mmm, No. 123
DFT formation energy in eV/atom: -0.3986
Calculated density in Mg/m³: 5.140

```
Sr2YInPt
1.0
-1.5436 -5.6414 0.0208
3.3251 -0.8944 4.1870
-4.3538 1.2050 3.7149
Sr Y In Pt
2 1 1 1
Direct
0.5000 0.0000 0.0000
0.0000 0.0000 0.5000
0.0000 0.5000 0.0000
0.5000 0.5000 0.5000
0.0000 0.0000 0.0000
```

---

(4)
The following is a DFT calculation (PBE) of a relaxed KP2Pt crystal.

Summary:
Calculated volume in Å³ per cell: 72.3
Distance to the lowest polymorph of the same formula in eV per formula unit: 3.65
N(E_F) in states/eV per cell: 2.25
SG: C2/m, No. 12
DFT formation energy in eV/atom: 0.4870
Calculated density in Mg/m³: 6.799

```
KP2Pt
1.0
-1.8862 5.1518 3.3148
-3.3309 -4.1630 -0.4665
-0.0226 -0.2964 2.7605
P Pt K
2 1 1
Direct
0.5000 0.0000 0.5000
0.0000 0.0000 0.0000
0.0000 0.5000 0.5000
0.5000 0.5000 0.0000
```

---

(5)
The following is a DFT calculation (PBE) of a relaxed BaBi3Pt crystal.

Summary:
Calculated volume in Å³ per cell: 241.2
Distance to the lowest polymorph of the same formula in eV per formula unit: 10.02
N(E_F) in states/eV per cell: 11.31
SG: Pm-3m, No. 221
DFT formation energy in eV/atom: 1.5175
Calculated density in Mg/m³: 6.605

```
BaBi3Pt
1.0
6.2246 0.0000 0.0000
0.0000 6.2246 0.0000
0.0000 0.0000 6.2246
Ba Pt Bi
1 1 3
Direct
0.0000 0.0000 0.0000
0.5000 0.5000 0.5000
0.0000 0.5000 0.0000
0.5000 0.0000 0.0000
0.0000 0.0000 0.5000
```

---

(6)
The following is a DFT calculation (PBE) of a relaxed Al2InBr crystal.

Summary:
Calculated volume in Å³ per cell: 93.1
Distance to the lowest polymorph of the same formula in eV per formula unit: 0.39
N(E_F) in states/eV per cell: 1.56
SG: Immm, No. 71
Formation energy from raw total energies in eV per atom: 0.12
Calculated density in Mg/m³: 4.434

```
Al2InBr
1.0
-0.3446 -0.3151 6.1134
4.5485 -2.7947 3.0154
-1.8382 4.5612 -3.6617
In Al Br
1 2 1
Direct
0.7500 0.2500 0.5000
0.5034 0.5034 0.0000
0.9966 0.9966 0.0000
0.2500 0.7500 0.5000
```